Record 1
Computed, not measured: a relaxed TaNbAl2H crystal at the PBE-GGA level of DFT.

Cell: 4.1184 4.1184 4.0767 Å, 90.00 90.00 90.00°
With the nearest neighbours (Å) after each atom.
Positions (direct):
Ta 0.0000 0.0000 0.5000  2 H 2.04
Al 0.0000 0.5000 0.0000  2 H 2.06
Nb 0.5000 0.5000 0.5000  8 Al 2.90, 4 Ta 2.91
H 0.0000 0.0000 0.0000  2 Ta 2.04, 4 Al 2.06
Al 0.5000 0.0000 0.0000  2 H 2.06

Values from the calculation:
* symmetry: P4/mmm (123)
* crystal system: tetragonal
* excess energy over the best structure of this formula in the dataset: 0 meV/atom

=====

Record 2
Computed, not measured: a relaxed RbTePbI crystal at the PBE-GGA level of DFT.

Cell: 4.8893 4.8868 10.0182 Å, 75.96 75.89 59.90°
With the nearest neighbours (Å) after each atom.
Positions (direct):
Te 0.9508 0.2135 0.8356  3 Pb 3.18
Rb 0.7124 0.9751 0.5514  3 I 3.54-3.55, 3 Te 3.93
Pb 0.5666 0.8302 0.9879  3 Te 3.18, 1 I 3.27
I 0.4542 0.7160 0.3280  1 Pb 3.27, 3 Rb 3.54-3.55

Values from the calculation:
* uncorrected formation energy: -0.78 eV/atom
* symmetry: Cm (8)
* crystal system: monoclinic

=====

Record 3
Computed, not measured: a relaxed AlH2I2Br2 crystal at the PBE-GGA level of DFT.

Cell: 3.7944 7.9295 7.5067 Å, 99.39 75.36 76.16°
With the nearest neighbours (Å) after each atom.
Positions (direct):
H 0.7710 0.6926 0.7653  2 Br 1.90
Br 0.2742 0.6892 0.7624  2 H 1.90
Al 0.0000 0.0000 0.0000  2 Br 2.60, 4 I 2.73
H 0.2290 0.3074 0.2347  2 Br 1.90
I 0.4526 0.8829 0.2119  2 Al 2.73
I 0.5474 0.1171 0.7881  2 Al 2.73
Br 0.7258 0.3108 0.2376  2 H 1.90

Values from the calculation:
* symmetry: C2/m (12)
* crystal system: monoclinic

=====

Record 4
Computed, not measured: a relaxed Ba2SrBr crystal at the PBE-GGA level of DFT.

Cell: 10.4167 10.4167 8.4531 Å, 51.96 51.96 90.00°
With the nearest neighbours (Å) after each atom.
Positions (direct):
Sr 0.7500 0.2500 0.5000  2 Br 4.15, 8 Ba 4.40-4.50
Br 0.2500 0.7500 0.5000  4 Ba 3.27
Ba 0.5374 0.1250 0.2500  2 Br 3.27
Ba 0.3750 0.4626 0.7500  2 Br 3.27
Ba 0.8750 0.7874 0.7500  2 Br 3.27
Br 0.5000 0.5000 0.0000  4 Ba 3.27
Sr 0.0000 0.0000 0.0000  2 Br 4.15, 8 Ba 4.40-4.50
Ba 0.2126 0.6250 0.2500  2 Br 3.27

Values from the calculation:
* uncorrected formation energy: -0.58 eV/atom
* symmetry: I-42d (122)
* crystal system: tetragonal
* excess energy over the best structure of this formula in the dataset: 173 meV/atom

=====

Record 5
Computed, not measured: a relaxed LiScBi2 crystal at the PBE-GGA level of DFT.

Cell: 4.5546 4.5546 6.7001 Å, 70.13 70.13 60.00°
With the nearest neighbours (Å) after each atom.
Positions (direct):
Bi 0.2532 0.2532 0.2403  3 Sc 3.05, 1 Bi 3.14, 3 Li 3.15
Li 0.4925 0.4925 0.5224  6 Bi 2.98-3.15, 1 Sc 3.29
Bi 0.0836 0.0836 0.7492  3 Li 2.98, 3 Sc 3.01, 1 Bi 3.14
Sc 0.6706 0.6706 0.9882  6 Bi 3.01-3.05, 1 Li 3.29

Values from the calculation:
* symmetry: R3m (160)
* crystal system: trigonal
* calculated formation energy: -413 meV/atom
* excess energy over the best structure of this formula in the dataset: 10 meV/atom

=====

Record 6
Computed, not measured: a relaxed Ca2MnPtN crystal at the PBE-GGA level of DFT.

Cell: 4.9557 4.9557 3.7627 Å, 90.00 90.00 90.00°
With the nearest neighbours (Å) after each atom.
Positions (direct):
Pt 0.5000 0.5000 0.5000  8 Ca 3.11
Ca 0.5000 0.0000 0.0000  2 N 2.48
N 0.0000 0.0000 0.0000  2 Mn 1.88
Ca 0.0000 0.5000 0.0000  2 N 2.48
Mn 0.0000 0.0000 0.5000  2 N 1.88

Values from the calculation:
* uncorrected formation energy: -0.64 eV/atom
* symmetry: P4/mmm (123)
* crystal system: tetragonal

=====

Record 7
Computed, not measured: a relaxed Sr3YHo3S8 crystal at the PBE-GGA level of DFT.

Cell: 7.9746 7.9746 8.2494 Å, 118.90 90.00 120.00°
With the nearest neighbours (Å) after each atom.
Positions (direct):
Ho 0.5000 0.5000 0.5000  6 S 2.76-2.78
Sr 0.0000 0.5000 0.0000  6 S 2.96-2.98
S 0.2597 0.0182 0.2767  2 Ho 2.76, 1 Y 2.77, 2 Sr 2.98
S 0.7424 0.4849 0.7273  3 Ho 2.78, 3 Sr 2.96
Ho 0.0000 0.5000 0.5000  6 S 2.76-2.78
S 0.7585 0.0182 0.2767  2 Ho 2.76, 1 Y 2.77, 2 Sr 2.98
S 0.2415 0.9818 0.7233  2 Ho 2.76, 1 Y 2.77, 2 Sr 2.98
Sr 0.5000 0.5000 0.0000  6 S 2.96-2.98
Ho 0.5000 0.0000 0.5000  6 S 2.76-2.78
Sr 0.0000 0.0000 0.0000  6 S 2.96-2.98
Y 0.0000 0.0000 0.5000  6 S 2.77
S 0.2415 0.4830 0.7233  2 Ho 2.76, 1 Y 2.77, 2 Sr 2.98
S 0.7585 0.5170 0.2767  2 Ho 2.76, 1 Y 2.77, 2 Sr 2.98
S 0.7403 0.9818 0.7233  2 Ho 2.76, 1 Y 2.77, 2 Sr 2.98
S 0.2576 0.5151 0.2727  3 Ho 2.78, 3 Sr 2.96

Values from the calculation:
* uncorrected formation energy: -2.08 eV/atom
* symmetry: R-3m (166)
* crystal system: trigonal

=====

Record 8
Computed, not measured: a relaxed LaOsPb2 crystal at the PBE-GGA level of DFT.

Cell: 6.4104 6.4104 6.4104 Å, 148.70 130.52 59.72°
With the nearest neighbours (Å) after each atom.
Positions (direct):
La 0.7500 0.2500 0.5000  4 Os 3.19, 2 La 3.46, 4 Pb 3.53
Os 0.2500 0.7500 0.5000  4 Pb 2.87, 4 La 3.19
Pb 0.0438 0.0438 0.0000  2 Os 2.87
Pb 0.4562 0.4562 0.0000  2 Os 2.87

Values from the calculation:
* symmetry: Immm (71)
* crystal system: orthorhombic
* calculated formation energy: 137 meV/atom
* excess energy over the best structure of this formula in the dataset: 64 meV/atom

=====

Record 9
Computed, not measured: a relaxed CsTe2CN crystal at the PBE-GGA level of DFT.

Cell: 6.5197 6.5197 4.1608 Å, 90.00 90.00 90.00°
With the nearest neighbours (Å) after each atom.
Positions (direct):
Te 0.5000 0.0000 0.0000  2 Cs 3.26
Te 0.0000 0.5000 0.0000  2 Cs 3.26
C 0.5000 0.5000 0.5000  8 Te 3.87, 2 C 4.16
Cs 0.0000 0.0000 0.0000  2 N 2.08
N 0.0000 0.0000 0.5000  2 Cs 2.08

Values from the calculation:
* uncorrected formation energy: 3.17 eV/atom
* symmetry: P4/mmm (123)
* crystal system: tetragonal
* excess energy over the best structure of this formula in the dataset: 1673 meV/atom

=====

Record 10
Computed, not measured: a relaxed MgSc2RhO crystal at the PBE-GGA level of DFT.

Cell: 4.4008 4.4008 4.0272 Å, 90.00 90.00 90.00°
With the nearest neighbours (Å) after each atom.
Positions (direct):
Mg 0.0000 0.0000 0.5000  2 O 2.01
O 0.0000 0.0000 0.0000  2 Mg 2.01, 4 Sc 2.20
Sc 0.5000 0.0000 0.0000  2 O 2.20
Sc 0.0000 0.5000 0.0000  2 O 2.20
Rh 0.5000 0.5000 0.5000  8 Sc 2.98, 4 Mg 3.11

Values from the calculation:
* uncorrected formation energy: -1.43 eV/atom
* symmetry: P4/mmm (123)
* crystal system: tetragonal

=====

Record 11
Computed, not measured: a relaxed Sm3Zn9Ir2 crystal at the PBE-GGA level of DFT.

Cell: 4.2917 8.2570 8.2570 Å, 66.34 74.94 74.94°
With the nearest neighbours (Å) after each atom.
Positions (direct):
Zn 0.1258 0.1548 0.5935  4 Zn 2.55-2.80, 2 Ir 2.71
Zn 0.0000 0.5000 0.5000  4 Zn 2.58, 4 Ir 2.81
Ir 0.5000 0.2986 0.7014  8 Zn 2.63-2.81
Zn 0.6682 0.9735 0.6900  4 Zn 2.55-2.80, 1 Ir 2.63
Zn 0.3318 0.3100 0.0265  4 Zn 2.55-2.80, 1 Ir 2.63
Zn 0.8742 0.8452 0.4065  4 Zn 2.55-2.80, 2 Ir 2.71
Sm 0.6894 0.3106 0.3106  12 Zn 3.04-3.29, 2 Ir 3.08
Zn 0.1258 0.5935 0.1548  4 Zn 2.55-2.80, 2 Ir 2.71
Zn 0.3318 0.0265 0.3100  4 Zn 2.55-2.80, 1 Ir 2.63
Zn 0.6682 0.6900 0.9735  4 Zn 2.55-2.80, 1 Ir 2.63
Zn 0.8742 0.4065 0.8452  4 Zn 2.55-2.80, 2 Ir 2.71
Sm 0.0000 0.0000 0.0000  12 Zn 3.03-3.34
Ir 0.5000 0.7014 0.2986  8 Zn 2.63-2.81
Sm 0.3106 0.6894 0.6894  12 Zn 3.04-3.29, 2 Ir 3.08

Values from the calculation:
* symmetry: Immm (71)
* crystal system: orthorhombic
* calculated formation energy: -392 meV/atom

=====

Record 12
Computed, not measured: a relaxed Co2CuAs crystal at the PBE-GGA level of DFT.

Cell: 2.8073 3.4903 5.0804 Å, 90.00 90.00 90.00°
With the nearest neighbours (Å) after each atom.
Positions (direct):
Co 0.5000 0.5000 0.2420  2 As 2.42-2.66, 4 Co 2.54, 4 Cu 2.56
Co 0.0000 0.0000 0.0074  2 Cu 2.43-2.65, 4 Co 2.54, 4 As 2.55
As 0.5000 0.5000 0.7658  6 Co 2.42-2.66, 4 Cu 2.66
Cu 0.0000 0.0000 0.4848  6 Co 2.43-2.65, 4 As 2.66

Values from the calculation:
* symmetry: Pmm2 (25)
* crystal system: orthorhombic
* calculated formation energy: 134 meV/atom

=====

How do the records compare in final energy? In the order shown, they have -6.656; -3.127; -2.587; -2.378; -4.415; -6.152; -5.968; -5.757; -1.768; -6.745; -3.488; -5.605 eV per atom.